(1)
Computed, not measured: crystalline Ac5Pr2DyY at its relaxed geometry at the PBE level of DFT.

Computed properties:
Energy relative to the elements, eV/atom: 0.130
Space group: Cmcm

Geometry as CIF:
```
data_Ac5Pr2DyY
_chemical_formula_sum 'Ac10 Pr4 Dy2 Y2'
_space_group_name_H-M_alt 'P 1'
_space_group_IT_number 1
_cell_length_a 11.753
_cell_length_b 11.753
_cell_length_c 11.087
_cell_angle_alpha 90.00
_cell_angle_beta 90.00
_cell_angle_gamma 151.20
loop_
_space_group_symop_operation_xyz
'x,y,z'
loop_
_atom_site_label
_atom_site_fract_x
_atom_site_fract_y
_atom_site_fract_z
Ac1 0.000 0.000 0.000
Ac2 0.000 0.000 0.500
Ac3 0.131 0.869 0.750
Ac4 0.219 0.781 0.064
Ac5 0.219 0.781 0.436
Ac6 0.497 0.503 0.750
Ac7 0.503 0.497 0.250
Ac8 0.781 0.219 0.564
Ac9 0.781 0.219 0.936
Ac10 0.869 0.131 0.250
Pr1 0.386 0.614 0.008
Pr2 0.386 0.614 0.492
Pr3 0.614 0.386 0.508
Pr4 0.614 0.386 0.992
Dy1 0.303 0.697 0.750
Dy2 0.697 0.303 0.250
Y1 0.099 0.901 0.250
Y2 0.901 0.099 0.750
```

=====

(2)
Computed, not measured: crystalline TlInBr2 at its relaxed geometry at the PBE level of DFT.

Computed properties:
E_form (uncorrected), eV/atom: -0.6523
Space group: I-4m2

Geometry as CIF:
```
data_TlInBr2
_chemical_formula_sum 'Tl2 In2 Br4'
_space_group_name_H-M_alt 'P 1'
_space_group_IT_number 1
_cell_length_a 4.620
_cell_length_b 4.620
_cell_length_c 12.993
_cell_angle_alpha 90.00
_cell_angle_beta 90.00
_cell_angle_gamma 90.00
loop_
_space_group_symop_operation_xyz
'x,y,z'
loop_
_atom_site_label
_atom_site_fract_x
_atom_site_fract_y
_atom_site_fract_z
Tl1 0.000 0.000 0.000
Tl2 0.500 0.500 0.500
In1 0.000 0.500 0.250
In2 0.500 0.000 0.750
Br1 0.000 0.000 0.500
Br2 0.000 0.500 0.750
Br3 0.500 0.000 0.250
Br4 0.500 0.500 0.000
```

=====

(3)
Computed, not measured: crystalline RhSeCl2 at its relaxed geometry at the PBE level of DFT.

Computed properties:
E_form (uncorrected), eV/atom: -0.1665
Space group: Imm2

Geometry as CIF:
```
data_RhSeCl2
_chemical_formula_sum 'Rh2 Se2 Cl4'
_space_group_name_H-M_alt 'P 1'
_space_group_IT_number 1
_cell_length_a 3.541
_cell_length_b 5.109
_cell_length_c 12.693
_cell_angle_alpha 90.00
_cell_angle_beta 90.00
_cell_angle_gamma 90.00
loop_
_space_group_symop_operation_xyz
'x,y,z'
loop_
_atom_site_label
_atom_site_fract_x
_atom_site_fract_y
_atom_site_fract_z
Rh1 0.000 0.000 0.000
Rh2 0.500 0.500 0.500
Se1 0.000 0.500 0.376
Se2 0.500 0.000 0.876
Cl1 0.000 0.000 0.406
Cl2 0.000 0.500 0.632
Cl3 0.500 0.000 0.132
Cl4 0.500 0.500 0.906
```

=====

(4)
Computed, not measured: crystalline Fe2CuPdN at its relaxed geometry at the PBE level of DFT.

Computed properties:
E_form (uncorrected), eV/atom: 0.0573
Space group: P4/mmm

Geometry as CIF:
```
data_Fe2CuPdN
_chemical_formula_sum 'Fe2 Cu1 Pd1 N1'
_space_group_name_H-M_alt 'P 1'
_space_group_IT_number 1
_cell_length_a 3.767
_cell_length_b 3.767
_cell_length_c 4.209
_cell_angle_alpha 90.00
_cell_angle_beta 90.00
_cell_angle_gamma 90.00
loop_
_space_group_symop_operation_xyz
'x,y,z'
loop_
_atom_site_label
_atom_site_fract_x
_atom_site_fract_y
_atom_site_fract_z
Fe1 0.000 0.500 0.000
Fe2 0.500 0.000 0.000
Cu1 0.000 0.000 0.500
Pd1 0.500 0.500 0.500
N1 0.500 0.500 0.000
```

=====

(5)
Computed, not measured: crystalline Pm6As2P3Cl at its relaxed geometry at the PBE level of DFT.

Computed properties:
E_form (uncorrected), eV/atom: -1.6054
Space group: C2/m

Geometry as CIF:
```
data_Pm6As2P3Cl
_chemical_formula_sum 'Pm6 As2 P3 Cl1'
_space_group_name_H-M_alt 'P 1'
_space_group_IT_number 1
_cell_length_a 9.330
_cell_length_b 9.330
_cell_length_c 8.378
_cell_angle_alpha 103.39
_cell_angle_beta 103.39
_cell_angle_gamma 25.73
loop_
_space_group_symop_operation_xyz
'x,y,z'
loop_
_atom_site_label
_atom_site_fract_x
_atom_site_fract_y
_atom_site_fract_z
Pm1 0.002 0.002 0.229
Pm2 0.327 0.327 0.418
Pm3 0.334 0.334 0.914
Pm4 0.666 0.666 0.086
Pm5 0.673 0.673 0.582
Pm6 0.998 0.998 0.771
As1 0.165 0.165 0.828
As2 0.835 0.835 0.172
P1 0.165 0.165 0.334
P2 0.500 0.500 0.000
P3 0.835 0.835 0.666
Cl1 0.500 0.500 0.500
```

=====

(6)
Computed, not measured: crystalline SrCaScW2 at its relaxed geometry at the PBE level of DFT.

Computed properties:
Energy relative to the elements, eV/atom: 2.180
Space group: P4/mmm

Geometry as CIF:
```
data_SrCaScW2
_chemical_formula_sum 'Sr1 Ca1 Sc1 W2'
_space_group_name_H-M_alt 'P 1'
_space_group_IT_number 1
_cell_length_a 4.934
_cell_length_b 4.934
_cell_length_c 5.291
_cell_angle_alpha 90.00
_cell_angle_beta 90.00
_cell_angle_gamma 90.00
loop_
_space_group_symop_operation_xyz
'x,y,z'
loop_
_atom_site_label
_atom_site_fract_x
_atom_site_fract_y
_atom_site_fract_z
Sr1 0.000 0.000 0.000
Ca1 0.500 0.500 0.500
Sc1 0.500 0.500 0.000
W1 0.000 0.500 0.500
W2 0.500 0.000 0.500
```

=====

(7)
Computed, not measured: crystalline TiTlTcSn2 at its relaxed geometry at the PBE level of DFT.

Computed properties:
Energy relative to the elements, eV/atom: 1.084
Space group: P4/mmm

Geometry as CIF:
```
data_TiTlTcSn2
_chemical_formula_sum 'Ti1 Tl1 Tc1 Sn2'
_space_group_name_H-M_alt 'P 1'
_space_group_IT_number 1
_cell_length_a 5.243
_cell_length_b 5.243
_cell_length_c 5.295
_cell_angle_alpha 90.00
_cell_angle_beta 90.00
_cell_angle_gamma 90.00
loop_
_space_group_symop_operation_xyz
'x,y,z'
loop_
_atom_site_label
_atom_site_fract_x
_atom_site_fract_y
_atom_site_fract_z
Ti1 0.000 0.000 0.000
Tl1 0.000 0.000 0.500
Tc1 0.500 0.500 0.500
Sn1 0.000 0.500 0.000
Sn2 0.500 0.000 0.000
```

=====

(8)
Computed, not measured: crystalline Sc2TeAs at its relaxed geometry at the PBE level of DFT.

Computed properties:
E_form (uncorrected), eV/atom: -1.0664
Space group: Amm2

Geometry as CIF:
```
data_Sc2TeAs
_chemical_formula_sum 'Sc4 Te2 As2'
_space_group_name_H-M_alt 'P 1'
_space_group_IT_number 1
_cell_length_a 3.901
_cell_length_b 3.891
_cell_length_c 13.616
_cell_angle_alpha 90.00
_cell_angle_beta 90.00
_cell_angle_gamma 90.00
loop_
_space_group_symop_operation_xyz
'x,y,z'
loop_
_atom_site_label
_atom_site_fract_x
_atom_site_fract_y
_atom_site_fract_z
Sc1 0.000 0.000 0.000
Sc2 0.000 0.500 0.500
Sc3 0.500 0.000 0.331
Sc4 0.500 0.500 0.831
Te1 0.000 0.000 0.775
Te2 0.000 0.500 0.275
As1 0.500 0.000 0.525
As2 0.500 0.500 0.025
```

=====

(9)
Computed, not measured: crystalline CdBr3 at its relaxed geometry at the PBE level of DFT.

Computed properties:
E_form (uncorrected), eV/atom: -0.3475
Space group: I-42d

Geometry as CIF:
```
data_CdBr3
_chemical_formula_sum 'Cd4 Br12'
_space_group_name_H-M_alt 'P 1'
_space_group_IT_number 1
_cell_length_a 9.575
_cell_length_b 9.575
_cell_length_c 5.830
_cell_angle_alpha 90.00
_cell_angle_beta 90.00
_cell_angle_gamma 90.00
loop_
_space_group_symop_operation_xyz
'x,y,z'
loop_
_atom_site_label
_atom_site_fract_x
_atom_site_fract_y
_atom_site_fract_z
Cd1 0.000 0.000 0.000
Cd2 0.000 0.500 0.250
Cd3 0.500 0.000 0.750
Cd4 0.500 0.500 0.500
Br1 0.000 0.000 0.500
Br2 0.000 0.500 0.750
Br3 0.124 0.250 0.125
Br4 0.250 0.624 0.375
Br5 0.250 0.876 0.875
Br6 0.376 0.250 0.625
Br7 0.500 0.000 0.250
Br8 0.500 0.500 0.000
Br9 0.624 0.750 0.625
Br10 0.750 0.124 0.875
Br11 0.750 0.376 0.375
Br12 0.876 0.750 0.125
```

=====

(10)
Computed, not measured: crystalline Ba5P5I3 at its relaxed geometry at the PBE level of DFT.

Computed properties:
E_form (uncorrected), eV/atom: -1.2540
Space group: C2/m

Geometry as CIF:
```
data_Ba5P5I3
_chemical_formula_sum 'Ba10 P10 I6'
_space_group_name_H-M_alt 'P 1'
_space_group_IT_number 1
_cell_length_a 21.774
_cell_length_b 21.774
_cell_length_c 9.549
_cell_angle_alpha 92.71
_cell_angle_beta 92.71
_cell_angle_gamma 12.14
loop_
_space_group_symop_operation_xyz
'x,y,z'
loop_
_atom_site_label
_atom_site_fract_x
_atom_site_fract_y
_atom_site_fract_z
Ba1 0.041 0.041 0.350
Ba2 0.060 0.060 0.792
Ba3 0.260 0.260 0.223
Ba4 0.341 0.341 0.953
Ba5 0.362 0.362 0.416
Ba6 0.638 0.638 0.584
Ba7 0.659 0.659 0.047
Ba8 0.740 0.740 0.777
Ba9 0.940 0.940 0.208
Ba10 0.959 0.959 0.650
P1 0.131 0.131 0.825
P2 0.180 0.180 0.781
P3 0.209 0.209 0.971
P4 0.437 0.437 0.442
P5 0.486 0.486 0.396
P6 0.514 0.514 0.604
P7 0.563 0.563 0.558
P8 0.791 0.791 0.029
P9 0.820 0.820 0.219
P10 0.869 0.869 0.175
I1 0.125 0.125 0.297
I2 0.290 0.290 0.606
I3 0.450 0.450 0.934
I4 0.550 0.550 0.066
I5 0.710 0.710 0.394
I6 0.875 0.875 0.703
```